(1)
Below is ZnPd2 after structural relaxation, with properties calculated at the PBEsol level.

a b c (Å): 4.119 5.297 7.700
angles (deg): 90.00 90.00 90.00
Element x y z (fractional)
Zn (0.750, 0.183, 0.401)
Zn (0.250, 0.817, 0.599)
Zn (0.750, 0.683, 0.099)
Zn (0.250, 0.317, 0.901)
Pd (0.750, 0.042, 0.725)
Pd (0.750, 0.542, 0.775)
Pd (0.250, 0.458, 0.225)
Pd (0.250, 0.829, 0.930)
Pd (0.750, 0.671, 0.430)
Pd (0.750, 0.171, 0.070)
Pd (0.250, 0.958, 0.275)
Pd (0.250, 0.329, 0.570)

## Properties
As for the spin magnetization: 0.00 μB/f.u. The value obtained for the calculated formation energy is -0.46 eV/atom. The calculated total energy is -14.87 eV/f.u. The space group is Pnma, No. 62.

=====

(2)
Below is ZnPd2 after structural relaxation, with properties calculated at the PBEsol level.

a b c (Å): 2.859 2.859 10.231
angles (deg): 90.00 90.00 90.00
Element x y z (fractional)
Pd (0.000, 0.000, 0.817)
Pd (0.000, 0.000, 0.500)
Pd (0.000, 0.000, 0.183)
Pd (0.500, 0.500, 0.000)
Zn (0.500, 0.500, 0.663)
Zn (0.500, 0.500, 0.337)

## Properties
As for the spin magnetization: 0.00 μB/f.u. The value obtained for the calculated formation energy is -0.42 eV/atom. The calculated total energy is -14.75 eV/f.u. The space group is P4/mmm, No. 123.

=====

(3)
Below is ZnPd after structural relaxation, with properties calculated at the PBEsol level.

a b c (Å): 2.854 2.854 3.356
angles (deg): 90.00 90.00 90.00
Element x y z (fractional)
Pd (0.000, 0.000, 0.500)
Zn (0.500, 0.500, 0.000)

## Properties
As for the spin magnetization: 0.00 μB/f.u. The value obtained for the calculated formation energy is -0.58 eV/atom. The calculated total energy is -8.70 eV/f.u. The space group is P4/mmm, No. 123.

=====

(4)
Below is Zn2Pd after structural relaxation, with properties calculated at the PBEsol level.

a b c (Å): 5.207 5.207 12.155
angles (deg): 90.00 90.00 91.17
Element x y z (fractional)
Zn (0.277, 0.723, 0.006)
Zn (0.000, 0.500, 0.500)
Zn (0.723, 0.277, 0.006)
Zn (0.000, 0.000, 0.166)
Zn (0.000, 0.500, 0.833)
Zn (0.000, 0.500, 0.167)
Zn (0.500, 0.500, 0.836)
Zn (0.500, 0.000, 0.833)
Zn (0.276, 0.276, 0.667)
Zn (0.000, 0.000, 0.503)
Zn (0.282, 0.282, 0.330)
Zn (0.500, 0.000, 0.167)
Zn (0.500, 0.000, 0.500)
Zn (0.724, 0.724, 0.667)
Zn (0.718, 0.718, 0.330)
Zn (0.000, 0.000, 0.829)
Pd (0.774, 0.226, 0.666)
Pd (0.220, 0.220, 0.993)
Pd (0.500, 0.500, 0.498)
Pd (0.786, 0.214, 0.338)
Pd (0.226, 0.774, 0.666)
Pd (0.780, 0.780, 0.993)
Pd (0.500, 0.500, 0.168)
Pd (0.214, 0.786, 0.338)

## Properties
As for the spin magnetization: 0.00 μB/f.u. The value obtained for the calculated formation energy is -0.44 eV/atom. The calculated total energy is -10.43 eV/f.u. The space group is Cmm2, No. 35.

=====

Question: What is the formula in the second record?
Answer: ZnPd2